A plane-wave DFT calculation with PBE was carried out for crystalline Dy5Mg2Cd2 at its relaxed geometry.

As for the crystal system: orthorhombic. The density of states at the Fermi level is 8.77 states/eV/f.u. The calculation puts the formation energy at -17.9 meV/atom. As for the total energy: -112.76 eV per cell.

It has space group Cmce (No. 64), with a = 17.4358 Å, b = 7.7528 Å, c = 7.6644 Å, α = 90.00°, β = 90.00° and γ = 90.00°. The asymmetric unit holds Dy at (0.0000, 0.0000, 0.0000), Dy at (0.1421, 0.1858, 0.3217), Mg at (0.0000, 0.1251, 0.6234) and Cd at (0.2190, 0.0000, 0.0000).